Below is an optimized crystal structure of Th2UZn, with properties calculated at the PBE level.

V in Å³ per atom: 25.8
Offset from the most stable computed form in meV/atom: 0
Final energy in Ry per atom: -0.488
Formation energy in kJ per mole of atoms: 20.89

CIF file:
```
data_Th2UZn
_chemical_formula_sum 'Th2 U1 Zn1'
_symmetry_space_group_name_H-M 'P 4/m m m'
_symmetry_Int_Tables_number 123
_symmetry_space_group_name_Hall '-P 4 2'
_cell_length_a 3.8377
_cell_length_b 3.8377
_cell_length_c 6.9974
_cell_angle_alpha 90.00
_cell_angle_beta 90.00
_cell_angle_gamma 90.00
loop_
_atom_site_label
_atom_site_fract_x
_atom_site_fract_y
_atom_site_fract_z
Th1 0.0000 0.0000 0.2457
U1 0.5000 0.5000 0.5000
Zn1 0.5000 0.5000 0.0000
```



Below is an optimized crystal structure of Zr3ScSn, with properties calculated at the PBE level.

V in Å³ per atom: 25.3
Offset from the most stable computed form in meV/atom: 1131
Final energy in Ry per atom: -0.464
Formation energy in kJ per mole of atoms: 84.51

CIF file:
```
data_Zr3ScSn
_chemical_formula_sum 'Zr3 Sc1 Sn1'
_symmetry_space_group_name_H-M 'P m -3 m'
_symmetry_Int_Tables_number 221
_symmetry_space_group_name_Hall '-P 4 2 3'
_cell_length_a 5.0169
_cell_length_b 5.0169
_cell_length_c 5.0169
_cell_angle_alpha 90.00
_cell_angle_beta 90.00
_cell_angle_gamma 90.00
loop_
_atom_site_label
_atom_site_fract_x
_atom_site_fract_y
_atom_site_fract_z
Zr1 0.0000 0.0000 0.5000
Sc1 0.0000 0.0000 0.0000
Sn1 0.5000 0.5000 0.5000
```



Below is an optimized crystal structure of YAlSe3, with properties calculated at the PBE level.

ΔE_f (raw) in meV/atom: -1336
V in Å³ per atom: 29.1
Offset from the most stable computed form in meV/atom: 35
Final energy in Ry per atom: -0.402

CIF file:
```
data_YAlSe3
_chemical_formula_sum 'Y2 Al2 Se6'
_symmetry_space_group_name_H-M 'P 1 m 1'
_symmetry_Int_Tables_number 6
_cell_length_a 7.4048
_cell_length_b 3.8874
_cell_length_c 10.1282
_cell_angle_alpha 90.00
_cell_angle_beta 93.61
_cell_angle_gamma 90.00
loop_
_symmetry_equiv_pos_as_xyz
'x,y,z'
'x,-y,z'
loop_
_atom_site_label
_atom_site_fract_x
_atom_site_fract_y
_atom_site_fract_z
Y1 0.0000 0.0000 0.0000
Y2 0.1950 0.0000 0.6275
Al1 0.6725 0.5000 0.6527
Al2 0.8566 0.5000 0.2703
Se1 0.1433 0.5000 0.1781
Se2 0.1634 0.5000 0.8334
Se3 0.4122 0.5000 0.5058
Se4 0.6788 0.0000 0.7981
Se5 0.6930 0.0000 0.1814
Se6 0.9289 0.5000 0.5104
```



> offset from the most stable computed form of number 2 (Zr3ScSn)?

1131 meV/atom